Entry 1:
Ce6Sb3TeAs2 after structural relaxation, computed with PBE.

Cell and atoms, written as POSCAR:
```
Ce6Sb3TeAs2
1.0
9.6042 -2.2002 0.0000
9.6042 2.2002 0.0000
-2.0385 0.0000 8.5922
Ce Sb Te As
6 3 1 2
Cartesian
-0.3873 0.0000 2.2029 Ce
5.4544 0.0000 3.6651 Ce
4.5095 0.0000 7.7457 Ce
12.6604 0.0000 0.8465 Ce
11.7154 0.0000 4.9271 Ce
17.5572 0.0000 6.3894 Ce
1.4307 0.0000 7.1537 Sb
8.5849 0.0000 4.2961 Sb
15.7391 0.0000 1.4385 Sb
9.6042 0.0000 0.0000 Te
2.5453 0.0000 2.8711 As
14.6246 0.0000 5.7211 As
```

Results
As for the space-group type: No. 12. For the uncorrected formation energy, the calculation gives -1.216 eV/atom. The calculation puts the total magnetization at 5.4 μB/f.u. The density of states at the Fermi level comes out at 36.4 states/eV/cell.

Entry 2:
Ce4SbTeAs2 after structural relaxation, computed with PBE.

Cell and atoms, written as POSCAR:
```
Ce4SbTeAs2
1.0
7.5051 0.0000 0.0000
0.0000 4.3337 0.0000
-2.5014 0.0000 7.2024
Ce Sb Te As
4 1 1 2
Cartesian
1.2368 0.0000 1.6393 Ce
-0.0120 2.1669 5.5476 Ce
5.0158 2.1669 1.6548 Ce
3.7669 0.0000 5.5631 Ce
-1.2507 0.0000 3.6012 Sb
2.5019 2.1669 3.6012 Te
0.0000 2.1669 0.0000 As
3.7526 0.0000 0.0000 As
```

Results
As for the space-group type: No. 10. For the uncorrected formation energy, the calculation gives -1.326 eV/atom. The calculation puts the total magnetization at 3.7 μB/f.u. The density of states at the Fermi level comes out at 25.3 states/eV/cell.

Entry 3:
Ce4Sb2TeAs after structural relaxation, computed with PBE.

Cell and atoms, written as POSCAR:
```
Ce4Sb2TeAs
1.0
7.6551 0.0000 0.0000
0.0000 4.4343 0.0000
-2.5677 0.0000 7.2558
Ce Sb Te As
4 2 1 1
Cartesian
1.2180 0.0000 1.7113 Ce
-0.0711 2.2171 5.5102 Ce
5.1585 2.2171 1.7456 Ce
3.8694 0.0000 5.5444 Ce
3.8276 0.0000 0.0000 Sb
2.5437 2.2171 3.6279 Sb
-1.2839 0.0000 3.6279 Te
0.0000 2.2171 0.0000 As
```

Results
As for the space-group type: No. 10. For the uncorrected formation energy, the calculation gives -1.214 eV/atom. The calculation puts the total magnetization at 3.8 μB/f.u. The density of states at the Fermi level comes out at 25.3 states/eV/cell.

Entry 4:
Ce6Sb2TeAs3 after structural relaxation, computed with PBE.

Cell and atoms, written as POSCAR:
```
Ce6Sb2TeAs3
1.0
9.5336 -2.1672 0.0000
9.5336 2.1672 0.0000
-2.1427 0.0000 8.4989
Ce Sb Te As
6 2 1 3
Cartesian
-0.4261 0.0000 2.0079 Ce
5.3443 0.0000 3.6260 Ce
4.4929 0.0000 7.7033 Ce
12.4317 0.0000 0.7956 Ce
11.5803 0.0000 4.8729 Ce
17.3507 0.0000 6.4909 Ce
1.3908 0.0000 7.0797 Sb
15.5338 0.0000 1.4192 Sb
8.4623 0.0000 4.2494 Te
2.4527 0.0000 2.8340 As
9.5336 0.0000 0.0000 As
14.4719 0.0000 5.6649 As
```

Results
As for the space-group type: No. 12. For the uncorrected formation energy, the calculation gives -1.290 eV/atom. The calculation puts the total magnetization at 5.2 μB/f.u. The density of states at the Fermi level comes out at 37.6 states/eV/cell.